[1]
{"formula": "Ca2SbOs", "functional": "PBE-GGA", "state": "optimized geometry", "formation_energy_uncorrected_ev_per_atom": 0.054, "lattice": [[-3.0455, 10.0866, 0.9102], [-1.6405, -1.4292, 10.3494], [0.0365, 5.0047, 6.1003]], "species": ["Os", "Os", "Sb", "Sb", "Ca", "Ca", "Ca", "Ca"], "fractional_positions": [[0.0000, 0.0000, 0.0000], [0.7500, 0.2500, 0.5000], [0.2500, 0.7500, 0.5000], [0.5000, 0.5000, 0.0000], [0.7975, 0.1250, 0.2500], [0.8750, 0.0475, 0.7500], [0.3750, 0.2025, 0.7500], [0.9525, 0.6250, 0.2500]]}

***

[2]
{"formula": "Pr3Se2N2", "functional": "PBE-GGA", "state": "optimized geometry", "formation_energy_uncorrected_ev_per_atom": -1.392, "lattice": [[-4.9908, 4.4452, -3.3196], [-4.8489, -1.2324, 5.6395], [0.2474, 6.4724, 1.6272]], "species": ["Se", "Se", "Se", "Se", "N", "N", "N", "N", "Pr", "Pr", "Pr", "Pr", "Pr", "Pr"], "fractional_positions": [[0.9113, 0.6590, 0.8147], [0.0887, 0.3410, 0.1853], [0.4113, 0.8410, 0.8147], [0.5887, 0.1590, 0.1853], [0.9349, 0.8811, 0.3448], [0.5651, 0.3811, 0.6552], [0.0651, 0.1189, 0.6552], [0.4349, 0.6189, 0.3448], [0.0000, 0.0000, 0.0000], [0.2461, 0.8930, 0.3808], [0.7539, 0.1070, 0.6192], [0.7461, 0.6070, 0.3808], [0.5000, 0.5000, 0.0000], [0.2539, 0.3930, 0.6192]]}

***

[3]
{"formula": "TlFe2Os", "functional": "PBE-GGA", "state": "optimized geometry", "e_form_ev_per_fu": 2.7, "lattice": [[4.6612, -0.0697, 0.0000], [1.1865, 4.5082, 0.0000], [-2.9238, -2.2193, 2.8736]], "species": ["Fe", "Fe", "Os", "Tl"], "fractional_positions": [[0.0000, 0.0000, 0.0000], [0.5000, 0.5000, 0.0000], [0.2500, 0.7500, 0.5000], [0.7500, 0.2500, 0.5000]]}

***

[4]
{"formula": "YCr2Cl", "functional": "PBE-GGA", "state": "optimized geometry", "formation_energy_uncorrected_ev_per_atom": 0.264, "lattice": [[-5.3914, -1.4570, 1.9713], [-0.8393, -1.9022, 5.5455], [1.8439, 4.2862, -3.6474]], "species": ["Cr", "Cr", "Y", "Cl"], "fractional_positions": [[0.4871, 0.4871, 0.0000], [0.0129, 0.0129, 0.0000], [0.7500, 0.2500, 0.5000], [0.2500, 0.7500, 0.5000]]}